# Na2TbSbO4

A relaxed structure of Na2TbSbO4 (PBE-GGA, Alexandria via LeMat-Bulk).

Calculated values
The calculation puts the uncorrected formation energy at -2.027 eV per atom. The total energy comes out at -5.930 eV per atom.

a b c (Å): 5.9516 3.4502 5.9948
angles (deg): 90.00 109.36 90.00
Last column: nearest neighbours and their distance in Å.
Space group P2/m (No. 10)
Symmetry-distinct sites (fractional):
1 Na 0.0000 0.0000 0.0000  6 O 2.56-2.58
2 Na 0.0000 0.5000 0.5000  6 O 2.52-2.54
3 Tb 0.5000 0.0000 0.5000  6 O 2.31-2.32
4 Sb 0.5000 0.5000 0.0000  6 O 2.34-2.37
5 O 0.2785 0.0000 0.7528  1 Tb 2.31, 2 Sb 2.37, 3 Na 2.52-2.56
6 O 0.2869 0.5000 0.2661  2 Tb 2.32, 1 Sb 2.34, 3 Na 2.54-2.58

# Mg2ScAlH

A relaxed structure of Mg2ScAlH (PBE-GGA, Alexandria via LeMat-Bulk).

Calculated values
The total energy comes out at -3.539 eV per atom.

a b c (Å): 4.3453 4.3453 4.3427
angles (deg): 90.00 90.00 90.00
Last column: nearest neighbours and their distance in Å.
Space group P4/mmm (No. 123)
Symmetry-distinct sites (fractional):
1 Mg 0.0000 0.5000 0.0000  2 H 2.17
2 Sc 0.0000 0.0000 0.5000  2 H 2.17
3 Al 0.5000 0.5000 0.5000  8 Mg 3.07, 4 Sc 3.07
4 H 0.0000 0.0000 0.0000  2 Sc 2.17, 4 Mg 2.17

# Sc2Mn2MoC4

A relaxed structure of Sc2Mn2MoC4 (PBE-GGA, Alexandria via LeMat-Bulk).

Calculated values
Its formation energy is -1.315 eV/f.u. The total energy comes out at -8.894 eV per atom.

a b c (Å): 11.8536 3.1716 5.5307
angles (deg): 90.00 108.48 90.00
Last column: nearest neighbours and their distance in Å.
Space group C2/m (No. 12)
Symmetry-distinct sites (fractional):
1 Sc 0.1318 0.0000 0.0421  7 C 2.32-2.56
2 Mn 0.1754 0.5000 0.4951  4 C 1.89-2.00
3 Mo 0.0000 0.0000 0.5000  6 C 2.21-2.43
4 C 0.0239 0.5000 0.2420  1 Mn 1.89
5 C 0.2133 0.0000 0.7112  3 Mn 1.95-2.00

# AcSiH

A relaxed structure of AcSiH (PBE-GGA, Alexandria via LeMat-Bulk).

Calculated values
The energy above the most stable polymorph in this dataset is 0.000 eV/atom. The total energy comes out at -4.942 eV per atom.

a b c (Å): 4.4717 12.8668 4.1638
angles (deg): 90.00 90.00 90.00
Last column: nearest neighbours and their distance in Å.
Space group Cmcm (No. 63)
Symmetry-distinct sites (fractional):
1 Ac 0.0000 0.1440 0.2500  4 H 2.53-2.58
2 Si 0.0000 0.4494 0.2500  2 Si 2.46
3 H 0.0000 0.2561 0.7500  4 Ac 2.53-2.58

# InTe2As

A relaxed structure of InTe2As (PBE-GGA, Alexandria via LeMat-Bulk).

Calculated values
The calculation puts the uncorrected formation energy at 0.282 eV per atom. The energy above the most stable polymorph in this dataset is 0.378 eV/atom. The total energy comes out at -3.136 eV per atom.

a b c (Å): 3.3065 3.3065 35.4403
angles (deg): 90.00 90.00 120.00
Last column: nearest neighbours and their distance in Å.
Space group R-3m (No. 166, hexagonal axes)
Symmetry-distinct sites (fractional):
1 In 0.0000 0.0000 0.0000  6 In 3.31, 6 Te 3.60
2 Te 0.0000 0.0000 0.4195  1 As 2.85
3 As 0.0000 0.0000 0.5000  2 Te 2.85

# ZrCd4Ag

A relaxed structure of ZrCd4Ag (PBE-GGA, Alexandria via LeMat-Bulk).

Calculated values
Its formation energy is -0.424 eV/f.u. The energy above the most stable polymorph in this dataset is 0.000 eV/atom. The total energy comes out at -2.581 eV per atom.

a b c (Å): 3.1662 3.1662 12.5218
angles (deg): 90.00 90.00 90.00
Last column: nearest neighbours and their distance in Å.
Space group P4/mmm (No. 123)
Symmetry-distinct sites (fractional):
1 Zr 0.0000 0.0000 0.0000  8 Cd 3.11, 4 Zr 3.17
2 Cd 0.0000 0.0000 0.3439  4 Ag 2.97, 8 Cd 3.10-3.17
3 Cd 0.5000 0.5000 0.1726  8 Cd 3.10-3.17, 4 Zr 3.11
4 Ag 0.5000 0.5000 0.5000  8 Cd 2.97, 4 Ag 3.17

# Si3Pt

A relaxed structure of Si3Pt (PBE-GGA, Alexandria via LeMat-Bulk).

Calculated values
The calculation puts the uncorrected formation energy at 0.180 eV per atom. The total energy comes out at -5.397 eV per atom.

a b c (Å): 4.6857 4.6857 2.7135
angles (deg): 90.00 90.00 90.00
Last column: nearest neighbours and their distance in Å.
Space group P4/mmm (No. 123)
Symmetry-distinct sites (fractional):
1 Si 0.0000 0.0000 0.0000  10 Si 2.71
2 Si 0.0000 0.5000 0.5000  4 Pt 2.71, 6 Si 2.71
3 Pt 0.5000 0.5000 0.0000  8 Si 2.71, 2 Pt 2.71

# Zr2SiNi

A relaxed structure of Zr2SiNi (PBE-GGA, Alexandria via LeMat-Bulk).

Calculated values
The calculation puts the uncorrected formation energy at -0.694 eV per atom. The total energy comes out at -7.769 eV per atom.

a b c (Å): 3.8061 3.6898 10.0354
angles (deg): 90.00 90.00 90.00
Last column: nearest neighbours and their distance in Å.
Space group Amm2 (No. 38)
Symmetry-distinct sites (fractional):
1 Zr 0.0000 0.0000 0.0000  4 Ni 2.76, 3 Si 2.81-2.87
2 Zr 0.5000 0.0000 0.2923  4 Si 2.75, 3 Ni 2.84-2.85
3 Si 0.0000 0.0000 0.7197  2 Ni 2.39
4 Ni 0.5000 0.0000 0.5757  2 Si 2.39

# NaLi4Cd8

A relaxed structure of NaLi4Cd8 (PBE-GGA, Alexandria via LeMat-Bulk).

Calculated values
Its formation energy is -2.242 eV/f.u. The total energy comes out at -1.426 eV per atom.

a b c (Å): 9.9001 9.9001 5.5320
angles (deg): 90.00 90.00 90.00
Last column: nearest neighbours and their distance in Å.
Space group I4/mmm (No. 139)
Symmetry-distinct sites (fractional):
1 Na 0.0000 0.0000 0.0000  12 Cd 3.42-3.49, 8 Li 3.76
2 Li 0.2500 0.2500 0.2500  2 Li 2.77, 8 Cd 2.86-2.99
3 Cd 0.0000 0.2143 0.5000  4 Li 2.86, 4 Cd 3.00-3.06
4 Cd 0.0000 0.3455 0.0000  4 Li 2.99, 5 Cd 3.06-3.22

# BeZn2Cl

A relaxed structure of BeZn2Cl (PBE-GGA, Alexandria via LeMat-Bulk).

Calculated values
The calculation puts the uncorrected formation energy at 0.405 eV per atom. The energy above the most stable polymorph in this dataset is 0.498 eV/atom. The total energy comes out at -1.625 eV per atom.

a b c (Å): 3.5791 3.5791 11.2222
angles (deg): 90.00 90.00 90.00
Last column: nearest neighbours and their distance in Å.
Space group I-4m2 (No. 119)
Symmetry-distinct sites (fractional):
1 Be 0.0000 0.0000 0.0000  4 Zn 2.53
2 Zn 0.0000 0.0000 0.5000  4 Be 2.53
3 Zn 0.0000 0.5000 0.2500  4 Cl 2.53
4 Cl 0.0000 0.5000 0.7500  4 Zn 2.53

# BeFe2PtPb

A relaxed structure of BeFe2PtPb (PBE-GGA, Alexandria via LeMat-Bulk).

Calculated values
Its formation energy is 1.543 eV/f.u. The total energy comes out at -5.772 eV per atom.

a b c (Å): 4.2017 4.2017 4.3129
angles (deg): 90.00 90.00 90.00
Last column: nearest neighbours and their distance in Å.
Space group P4/mmm (No. 123)
Symmetry-distinct sites (fractional):
1 Be 0.0000 0.0000 0.0000  4 Fe 2.10, 2 Pt 2.16
2 Fe 0.0000 0.5000 0.0000  2 Be 2.10
3 Pt 0.0000 0.0000 0.5000  2 Be 2.16
4 Pb 0.5000 0.5000 0.5000  4 Pt 2.97, 8 Fe 3.01

# Ge4Se5I2

A relaxed structure of Ge4Se5I2 (PBE-GGA, Alexandria via LeMat-Bulk).

Calculated values
The calculation puts the uncorrected formation energy at -0.038 eV per atom. The total energy comes out at -3.583 eV per atom.

a b c (Å): 14.8242 5.9391 9.1836
angles (deg): 90.00 126.34 90.00
Last column: nearest neighbours and their distance in Å.
Space group C2/m (No. 12)
Symmetry-distinct sites (fractional):
1 Ge 0.1383 0.0000 0.9997  1 I 2.72, 2 Se 2.72
2 Ge 0.1731 0.0000 0.5177  5 Se 2.47-2.69
3 Se 0.0000 0.0000 0.5000  2 Ge 2.47
4 Se 0.1459 0.2570 0.2526  3 Ge 2.65-2.72, 1 Se 2.89
5 I 0.1380 0.5000 0.8444  1 Ge 2.72